Record 1
DFT (GGA-PBE) results for an optimized crystal structure of ScFeCoBi.

abc: 4.451 4.451 4.451
angles: 60.00 60.00 60.00
Site moments in Bohr magnetons follow the coordinates.
Fractional coordinates of all 4 atoms:
Bi (0.250, 0.250, 0.250)  -0.02
Sc (0.750, 0.750, 0.750)  -0.19
Fe (0.000, 0.000, 0.000)  0.92
Co (0.500, 0.500, 0.500)  0.52

Calculated values
SG: F-43m, No. 216
Energy above the most stable polymorph in this dataset, kJ/mol of atoms: 0.0



Record 2
DFT (GGA-PBE) results for an optimized crystal structure of ScFeCoBi.

abc: 4.577 4.577 4.577
angles: 60.00 60.00 60.00
Site moments in Bohr magnetons follow the coordinates.
Fractional coordinates of all 4 atoms:
Fe (0.750, 0.750, 0.750)  2.56
Sc (0.000, 0.000, 0.000)  -0.28
Co (0.500, 0.500, 0.500)  1.27
Bi (0.250, 0.250, 0.250)  0.03

Calculated values
SG: F-43m, No. 216
Energy above the most stable polymorph in this dataset, kJ/mol of atoms: 17.7